Version 1
The following is a DFT calculation (PBE) of a geometry-optimized ZrP2PdS structure.

Calculated values
The total magnetization comes out at 0.00 μB per formula unit.

Cell lengths 4.5972, 4.5972, 4.6631 Å; angles 90.00, 90.00, 90.00 degrees
Closest atoms and distances in Å follow each position.
Space group P4/mmm (No. 123)
Symmetry-distinct sites (fractional):
Zr 0.0000 0.0000 0.0000 (multiplicity 1)  4 S 3.25, 8 P 3.27
P 0.0000 0.5000 0.5000 (multiplicity 2)  2 Pd 2.30
Pd 0.5000 0.5000 0.5000 (multiplicity 1)  4 P 2.30, 2 S 2.33
S 0.5000 0.5000 0.0000 (multiplicity 1)  2 Pd 2.33

=====

Version 2
The following is a DFT calculation (PBE) of a geometry-optimized ZrP2PdS structure.

Calculated values
The total magnetization comes out at 0.00 μB per formula unit.

Cell lengths 5.0267, 5.0267, 4.8639 Å; angles 90.00, 90.00, 90.00 degrees
Closest atoms and distances in Å follow each position.
Space group P4/mmm (No. 123)
Symmetry-distinct sites (fractional):
Zr 0.0000 0.0000 0.0000 (multiplicity 1)  2 S 2.43, 4 P 2.51
P 0.0000 0.5000 0.0000 (multiplicity 2)  2 Zr 2.51
Pd 0.5000 0.5000 0.5000 (multiplicity 1)  8 P 3.50, 4 S 3.55
S 0.0000 0.0000 0.5000 (multiplicity 1)  2 Zr 2.43

=====

version 1 is the most stable structure; the next one sits 0.153 eV/atom above it.

=====

Version 1
The following is a DFT calculation (PBE) of a geometry-optimized ZrPPdS2 structure.

Calculated values
The total magnetization comes out at 0.00 μB per formula unit.

Cell lengths 4.5980, 4.5980, 4.6624 Å; angles 90.00, 90.00, 90.00 degrees
Closest atoms and distances in Å follow each position.
Space group P4/mmm (No. 123)
Symmetry-distinct sites (fractional):
Zr 0.0000 0.0000 0.0000 (multiplicity 1)  4 P 3.25, 8 S 3.27
P 0.5000 0.5000 0.0000 (multiplicity 1)  2 Pd 2.33
Pd 0.5000 0.5000 0.5000 (multiplicity 1)  4 S 2.30, 2 P 2.33
S 0.0000 0.5000 0.5000 (multiplicity 2)  2 Pd 2.30

=====

Version 2
The following is a DFT calculation (PBE) of a geometry-optimized ZrPPdS2 structure.

Calculated values
The total magnetization comes out at 0.00 μB per formula unit.

Cell lengths 4.9023, 4.9023, 5.1128 Å; angles 90.00, 90.00, 90.00 degrees
Closest atoms and distances in Å follow each position.
Space group P4/mmm (No. 123)
Symmetry-distinct sites (fractional):
Zr 0.0000 0.0000 0.0000 (multiplicity 1)  4 S 2.45, 2 P 2.56
P 0.0000 0.0000 0.5000 (multiplicity 1)  2 Zr 2.56
Pd 0.5000 0.5000 0.5000 (multiplicity 1)  4 P 3.47, 8 S 3.54
S 0.0000 0.5000 0.0000 (multiplicity 2)  2 Zr 2.45

=====

version 1 is the most stable structure; the next one sits 0.024 eV/atom above it.

=====

Version 1
The following is a DFT calculation (PBE) of a geometry-optimized SbPPd3 structure.

Calculated values
The total magnetization comes out at 0.00 μB per formula unit.

Cell lengths 4.8986, 4.8986, 4.8986 Å; angles 90.00, 90.00, 90.00 degrees
Closest atoms and distances in Å follow each position.
Space group Pm-3m (No. 221)
Symmetry-distinct sites (fractional):
Sb 0.0000 0.0000 0.0000 (multiplicity 1)  6 Pd 2.45
P 0.5000 0.5000 0.5000 (multiplicity 1)  12 Pd 3.46
Pd 0.0000 0.0000 0.5000 (multiplicity 3)  2 Sb 2.45

=====

Version 2
The following is a DFT calculation (PBE) of a geometry-optimized SbPPd3 structure.

Calculated values
The total magnetization comes out at 0.00 μB per formula unit.

Cell lengths 7.0945, 5.5162, 9.1553 Å; angles 90.00, 102.23, 90.00 degrees
Closest atoms and distances in Å follow each position.
Space group P2_1/c (No. 14)
Symmetry-distinct sites (fractional):
Sb 0.0888 0.1905 0.1635 (multiplicity 4)  8 Pd 2.74-2.89
P 0.4497 0.6912 0.0490 (multiplicity 4)  6 Pd 2.39-2.46, 1 P 2.46
Pd 0.1354 0.6807 0.1069 (multiplicity 4)  1 P 2.40
Pd 0.2699 0.0364 0.9245 (multiplicity 4)  2 P 2.44-2.46
Pd 0.4777 0.1849 0.6949 (multiplicity 4)  3 P 2.39-2.45

=====

Version 3
The following is a DFT calculation (PBE) of a geometry-optimized SbPPd3 structure.

Calculated values
The total magnetization comes out at 0.00 μB per formula unit.

Cell lengths 7.9734, 5.7013, 9.3815 Å; angles 90.00, 125.87, 90.00 degrees
Closest atoms and distances in Å follow each position.
Space group P2_1/c (No. 14)
Symmetry-distinct sites (fractional):
Sb 0.1923 0.1532 0.1101 (multiplicity 4)  6 Pd 2.67-2.94
P 0.2705 0.7313 0.3803 (multiplicity 4)  6 Pd 2.36-2.53
Pd 0.0193 0.0061 0.3437 (multiplicity 4)  2 P 2.39-2.40
Pd 0.3661 0.1982 0.9396 (multiplicity 4)  2 P 2.36-2.53
Pd 0.3691 0.6789 0.1771 (multiplicity 4)  2 P 2.46-2.47

=====

Version 4
The following is a DFT calculation (PBE) of a geometry-optimized SbPPd3 structure.

Calculated values
The total magnetization comes out at 0.00 μB per formula unit.

Cell lengths 4.5600, 4.5600, 4.5600 Å; angles 90.00, 90.00, 90.00 degrees
Closest atoms and distances in Å follow each position.
Space group Pm-3m (No. 221)
Symmetry-distinct sites (fractional):
Sb 0.0000 0.0000 0.0000 (multiplicity 1)  12 Pd 3.22
P 0.5000 0.5000 0.5000 (multiplicity 1)  6 Pd 2.28
Pd 0.0000 0.5000 0.5000 (multiplicity 3)  2 P 2.28

=====

version 2 is the most stable structure; the next one sits 0.014 eV/atom above it.

=====

Version 1
The following is a DFT calculation (PBE) of a geometry-optimized SbPPd2 structure.

Calculated values
The total magnetization comes out at 0.00 μB per formula unit.

Cell lengths 6.5086, 6.5086, 6.5086 Å; angles 90.00, 90.00, 90.00 degrees
Closest atoms and distances in Å follow each position.
Space group Fm-3m (No. 225)
Symmetry-distinct sites (fractional):
Sb 0.0000 0.0000 0.0000 (multiplicity 4)  8 Pd 2.82
P 0.0000 0.0000 0.5000 (multiplicity 4)  8 Pd 2.82
Pd 0.2500 0.2500 0.2500 (multiplicity 8)  4 Sb 2.82, 4 P 2.82

=====

Version 2
The following is a DFT calculation (PBE) of a geometry-optimized SbPPd2 structure.

Calculated values
The total magnetization comes out at 0.00 μB per formula unit.

Cell lengths 4.6403, 4.6403, 14.9951 Å; angles 90.00, 90.00, 90.00 degrees
Closest atoms and distances in Å follow each position.
Space group I-42d (No. 122)
Symmetry-distinct sites (fractional):
Sb 0.0000 0.0000 0.0000 (multiplicity 4)  4 Pd 2.67
P 0.0000 0.0000 0.5000 (multiplicity 4)  4 Pd 2.35
Pd 0.1747 0.2500 0.6250 (multiplicity 8)  2 P 2.35

=====

version 2 is the most stable structure; the next one sits 0.127 eV/atom above it.

=====

Version 1
The following is a DFT calculation (PBE) of a geometry-optimized ScP3Pd structure.

Calculated values
The total magnetization comes out at 0.00 μB per formula unit.

Cell lengths 4.6634, 4.6634, 4.6634 Å; angles 90.00, 90.00, 90.00 degrees
Closest atoms and distances in Å follow each position.
Space group Pm-3m (No. 221)
Symmetry-distinct sites (fractional):
Sc 0.0000 0.0000 0.0000 (multiplicity 1)  12 P 3.30
P 0.0000 0.5000 0.5000 (multiplicity 3)  2 Pd 2.33
Pd 0.5000 0.5000 0.5000 (multiplicity 1)  6 P 2.33

=====

Version 2
The following is a DFT calculation (PBE) of a geometry-optimized ScP3Pd structure.

Calculated values
The total magnetization comes out at 0.00 μB per formula unit.

Cell lengths 4.8463, 4.8463, 4.8463 Å; angles 90.00, 90.00, 90.00 degrees
Closest atoms and distances in Å follow each position.
Space group Pm-3m (No. 221)
Symmetry-distinct sites (fractional):
Sc 0.0000 0.0000 0.0000 (multiplicity 1)  6 P 2.42
P 0.0000 0.0000 0.5000 (multiplicity 3)  2 Sc 2.42
Pd 0.5000 0.5000 0.5000 (multiplicity 1)  12 P 3.43

=====

version 1 is the most stable structure; the next one sits 0.370 eV/atom above it.

=====

Version 1
The following is a DFT calculation (PBE) of a geometry-optimized ScPPd3 structure.

Calculated values
The total magnetization comes out at 0.00 μB per formula unit.

Cell lengths 4.5114, 4.5114, 4.5114 Å; angles 90.00, 90.00, 90.00 degrees
Closest atoms and distances in Å follow each position.
Space group Pm-3m (No. 221)
Symmetry-distinct sites (fractional):
Sc 0.0000 0.0000 0.0000 (multiplicity 1)  12 Pd 3.19
P 0.5000 0.5000 0.5000 (multiplicity 1)  6 Pd 2.26
Pd 0.0000 0.5000 0.5000 (multiplicity 3)  2 P 2.26

=====

Version 2
The following is a DFT calculation (PBE) of a geometry-optimized ScPPd3 structure.

Calculated values
The total magnetization comes out at 0.00 μB per formula unit.

Cell lengths 4.7302, 4.7302, 4.7302 Å; angles 90.00, 90.00, 90.00 degrees
Closest atoms and distances in Å follow each position.
Space group Pm-3m (No. 221)
Symmetry-distinct sites (fractional):
Sc 0.0000 0.0000 0.0000 (multiplicity 1)  6 Pd 2.37
P 0.5000 0.5000 0.5000 (multiplicity 1)  12 Pd 3.34
Pd 0.0000 0.0000 0.5000 (multiplicity 3)  2 Sc 2.37

=====

version 1 is the most stable structure; the next one sits 1.174 eV/atom above it.

=====

Version 1
The following is a DFT calculation (PBE) of a geometry-optimized PPdSe3 structure.

Calculated values
The total magnetization comes out at 0.00 μB per formula unit.

Cell lengths 4.8896, 4.8896, 4.8896 Å; angles 90.00, 90.00, 90.00 degrees
Closest atoms and distances in Å follow each position.
Space group Pm-3m (No. 221)
Symmetry-distinct sites (fractional):
P 0.0000 0.0000 0.0000 (multiplicity 1)  12 Se 3.46
Pd 0.5000 0.5000 0.5000 (multiplicity 1)  6 Se 2.44
Se 0.0000 0.5000 0.5000 (multiplicity 3)  2 Pd 2.44

=====

Version 2
The following is a DFT calculation (PBE) of a geometry-optimized PPdSe3 structure.

Calculated values
The total magnetization comes out at 0.00 μB per formula unit.

Cell lengths 4.7860, 4.7860, 4.7860 Å; angles 90.00, 90.00, 90.00 degrees
Closest atoms and distances in Å follow each position.
Space group Pm-3m (No. 221)
Symmetry-distinct sites (fractional):
P 0.0000 0.0000 0.0000 (multiplicity 1)  6 Se 2.39
Pd 0.5000 0.5000 0.5000 (multiplicity 1)  12 Se 3.38
Se 0.0000 0.0000 0.5000 (multiplicity 3)  2 P 2.39

=====

version 2 is the most stable structure; the next one sits 0.134 eV/atom above it.

=====

Version 1
The following is a DFT calculation (PBE) of a geometry-optimized SiPPd4 structure.

Calculated values
The total magnetization comes out at 0.00 μB per formula unit.

Cell lengths 6.5235, 3.4222, 15.6180 Å; angles 90.00, 90.00, 90.00 degrees
Closest atoms and distances in Å follow each position.
Space group Pnma (No. 62)
Symmetry-distinct sites (fractional):
Si 0.2149 0.2500 0.1897 (multiplicity 4)  9 Pd 2.44-2.71
P 0.2369 0.7500 0.4392 (multiplicity 4)  6 Pd 2.37-2.53
Pd 0.0174 0.7500 0.2863 (multiplicity 4)  4 Si 2.62-2.64, 1 P 2.78, 6 Pd 2.83-2.87
Pd 0.0483 0.7500 0.5690 (multiplicity 4)  3 P 2.37-2.53, 1 Si 2.44
Pd 0.1043 0.7500 0.0637 (multiplicity 4)  1 P 2.40
Pd 0.1526 0.7500 0.8389 (multiplicity 4)  2 P 2.43, 2 Si 2.44-2.49

=====

Version 2
The following is a DFT calculation (PBE) of a geometry-optimized SiPPd4 structure.

Calculated values
The total magnetization comes out at 0.00 μB per formula unit.

Cell lengths 8.0331, 7.9723, 7.1028 Å; angles 90.00, 124.19, 90.00 degrees
Closest atoms and distances in Å follow each position.
Space group C2/c (No. 15)
Symmetry-distinct sites (fractional):
Si 0.0000 0.1247 0.2500 (multiplicity 4)  8 Pd 2.48-2.49
P 0.0000 0.3746 0.7500 (multiplicity 4)  8 Pd 2.48
Pd 0.1248 0.3752 0.5006 (multiplicity 8)  2 P 2.48, 2 Si 2.48-2.49
Pd 0.1267 0.1251 0.0015 (multiplicity 8)  2 P 2.48, 2 Si 2.48

=====

version 1 is the most stable structure; the next one sits 0.023 eV/atom above it.

=====

Version 1
The following is a DFT calculation (PBE) of a geometry-optimized SiP2Pd8 structure.

Calculated values
The total magnetization comes out at 0.00 μB per formula unit.

Cell lengths 14.4609, 4.0518, 5.9165 Å; angles 90.00, 111.27, 90.00 degrees
Closest atoms and distances in Å follow each position.
Space group C2/m (No. 12)
Symmetry-distinct sites (fractional):
Si 0.0000 0.0000 0.0000 (multiplicity 2)  8 Pd 2.47-2.61
P 0.1746 0.5000 0.6865 (multiplicity 4)  5 Pd 2.31-2.49
Pd 0.0349 0.5000 0.8047 (multiplicity 4)  1 P 2.36, 2 Si 2.47
Pd 0.0901 0.0000 0.4594 (multiplicity 4)  2 P 2.49, 1 Si 2.55, 2 Pd 2.79
Pd 0.1763 0.0000 0.9744 (multiplicity 4)  1 P 2.35, 1 Si 2.61
Pd 0.1957 0.5000 0.3179 (multiplicity 4)  1 P 2.31

=====

Version 2
The following is a DFT calculation (PBE) of a geometry-optimized SiP2Pd8 structure.

Calculated values
The total magnetization comes out at 0.00 μB per formula unit.

Cell lengths 7.2373, 10.5960, 4.5001 Å; angles 90.00, 106.96, 90.00 degrees
Closest atoms and distances in Å follow each position.
Space group Cm (No. 8)
Symmetry-distinct sites (fractional):
Si 0.0000 0.0000 0.0000 (multiplicity 2)  8 Pd 2.46-2.62
P 0.4987 0.1805 0.3905 (multiplicity 4)  8 Pd 2.39-2.47
Pd 0.1351 0.5000 0.7098 (multiplicity 2)  2 P 2.42, 1 Si 2.58
Pd 0.1990 0.1292 0.4819 (multiplicity 4)  2 P 2.39-2.45, 1 Si 2.61
Pd 0.2963 0.3694 0.2852 (multiplicity 4)  2 P 2.40-2.44, 1 Si 2.62
Pd 0.3644 0.0000 0.0634 (multiplicity 2)  2 P 2.44, 1 Si 2.57
Pd 0.4960 0.2733 0.8852 (multiplicity 4)  2 P 2.44-2.47, 1 Si 2.46

=====

version 1 is the most stable structure; the next one sits 0.024 eV/atom above it.

=====

Version 1
The following is a DFT calculation (PBE) of a geometry-optimized SrPPd3 structure.

Calculated values
The total magnetization comes out at 0.00 μB per formula unit.

Cell lengths 12.0427, 11.0249, 6.0278 Å; angles 90.00, 94.04, 90.00 degrees
Closest atoms and distances in Å follow each position.
Space group C2/c (No. 15)
Symmetry-distinct sites (fractional):
Sr 0.1545 0.1156 0.2291 (multiplicity 8)  8 Pd 3.03-3.29
P 0.0000 0.2139 0.7500 (multiplicity 4)  4 Pd 2.35-2.55
P 0.0000 0.4727 0.2500 (multiplicity 4)  6 Pd 2.32-2.46
Pd 0.1079 0.3763 0.9744 (multiplicity 8)  3 P 2.43-2.55
Pd 0.1210 0.3619 0.4869 (multiplicity 8)  1 P 2.32
Pd 0.1888 0.1616 0.7435 (multiplicity 8)  1 P 2.35

=====

Version 2
The following is a DFT calculation (PBE) of a geometry-optimized SrPPd3 structure.

Calculated values
The total magnetization comes out at 0.00 μB per formula unit.

Cell lengths 5.0930, 5.0930, 5.0930 Å; angles 90.00, 90.00, 90.00 degrees
Closest atoms and distances in Å follow each position.
Space group Pm-3m (No. 221)
Symmetry-distinct sites (fractional):
Sr 0.0000 0.0000 0.0000 (multiplicity 1)  6 Pd 2.55
P 0.5000 0.5000 0.5000 (multiplicity 1)  12 Pd 3.60
Pd 0.0000 0.0000 0.5000 (multiplicity 3)  2 Sr 2.55

=====

Version 3
The following is a DFT calculation (PBE) of a geometry-optimized SrPPd3 structure.

Calculated values
The total magnetization comes out at 0.00 μB per formula unit.

Cell lengths 5.2629, 5.2629, 22.5730 Å; angles 90.00, 90.00, 120.00 degrees
Closest atoms and distances in Å follow each position.
Space group R-3 (No. 148, hexagonal axes)
Symmetry-distinct sites (fractional):
Sr 0.0000 0.0000 0.1637 (multiplicity 6)  3 Sr 3.04, 6 Pd 3.10-3.21, 6 P 3.22-3.27
P 0.0000 0.0000 0.4496 (multiplicity 6)  1 P 2.27, 3 Pd 2.33
Pd 0.0014 0.6614 0.6165 (multiplicity 18)  1 P 2.33

=====

version 1 is the most stable structure; the next one sits 0.098 eV/atom above it.